GGA+U Li7Ni5O12, optimized geometry; relative energy among the computed polymorphs = 0.0356 eV/atom; volume = 202.8 Å³ per cell; crystal system = monoclinic; symmetry = C2, No. 5; E = -4.8337 eV/atom
1.0
4.3019 2.5256 0.0008
-4.3019 2.5256 0.0008
0.0000 1.6160 9.3326
O Li Ni
12 7 5
Cartesian
2.1433 3.4805 8.1650 O
-0.8327 4.8549 3.5250 O
0.7632 5.6808 8.2188 O
0.7632 0.9865 1.1155 O
-0.6104 3.4510 1.0260 O
-0.8327 1.8124 5.8093 O
-0.6104 3.2163 8.3082 O
-2.0948 4.0077 5.8803 O
-2.0948 2.6596 3.4540 O
0.6304 4.1570 5.7605 O
0.6304 2.5103 3.5738 O
2.1433 3.1868 1.1693 O
-2.1089 2.5256 0.0008 Li
-3.6095 3.3337 4.6671 Li
0.7276 2.5182 6.9035 Li
-0.7087 5.0162 6.9167 Li
2.0830 3.3337 4.6671 Li
-0.7087 1.6511 2.4176 Li
0.7276 4.1491 2.4308 Li
2.1191 5.0020 6.9582 Ni
3.6518 2.5256 0.0008 Ni
2.1191 1.6654 2.3760 Ni
0.7471 2.5256 0.0008 Ni
-0.7356 3.3337 4.6671 Ni